Entry from Alexandria: a geometry-optimized Dy2CuSi4Ni3 structure (GGA-PBE).

abc: 3.9681 3.9681 9.5774
angles: 90.00 90.00 90.00
Closest atoms and distances in Å follow each position.
Space group P-4m2 (No. 115)
Inequivalent atoms, fractional coordinates:
Dy  0.0000  0.5000  0.2477 (multiplicity 2)  8 Si 3.02-3.09, 6 Ni 3.05-3.13, 2 Cu 3.13
Cu  0.0000  0.0000  0.5000 (multiplicity 1)  4 Si 2.37
Si  0.0000  0.0000  0.0000 (multiplicity 1)  4 Ni 2.31
Si  0.0000  0.5000  0.6363 (multiplicity 2)  3 Ni 2.30-2.37, 2 Cu 2.37
Si  0.5000  0.5000  0.0000 (multiplicity 1)  4 Ni 2.31
Ni  0.0000  0.5000  0.8769 (multiplicity 2)  5 Si 2.30-2.31
Ni  0.5000  0.5000  0.5000 (multiplicity 1)  4 Si 2.37

**Total energy**: -6.02 eV per atom

***

Entry from Alexandria: a geometry-optimized Dy2CuSi2Ni5 structure (GGA-PBE).

abc: 9.7027 9.7027 3.0956
angles: 90.00 90.00 90.00
Closest atoms and distances in Å follow each position.
Space group P4/mbm (No. 127)
Inequivalent atoms, fractional coordinates:
Dy  0.1758  0.3242  0.0000 (multiplicity 4)  3 Si 2.74-2.96, 10 Ni 2.87-3.05
Cu  0.0000  0.0000  0.0000 (multiplicity 2)  8 Ni 2.57
Si  0.1247  0.6247  0.0000 (multiplicity 4)  6 Ni 2.31-2.37
Ni  0.0000  0.5000  0.5000 (multiplicity 2)  4 Si 2.31
Ni  0.0549  0.7955  0.5000 (multiplicity 8)  2 Si 2.37, 2 Cu 2.57

**Total energy**: -5.67 eV per atom